# Sr2ScCoPO3

A geometry-optimized Sr2ScCoPO3 structure (PBE+U, Alexandria).

```
Sr2ScCoPO3
1.0
4.047 0.000 0.000
0.000 4.047 0.000
0.000 0.000 15.359
Sr Sc Co P O
4 2 2 2 6
Direct
0.250 0.250 0.089
0.250 0.250 0.325
0.750 0.750 0.675
0.750 0.750 0.911
0.250 0.250 0.800
0.750 0.750 0.200
0.250 0.750 0.500
0.750 0.250 0.500
0.250 0.250 0.563
0.750 0.750 0.437
0.250 0.250 0.931
0.250 0.750 0.223
0.250 0.750 0.777
0.750 0.250 0.223
0.750 0.250 0.777
0.750 0.750 0.069
```

Computed properties:
calculated total energy = -53.49 eV per formula unit